Compound: Pm2Pr12Dy5
Source: Alexandria
Functional: GGA-PBE
Structure: optimized geometry

Cell: 11.8429 10.8564 6.2953 Å, 100.46 90.00 123.05°
With the nearest neighbours (Å) after each atom.
Element x y z (fractional)
Pm: 0.2282 0.0000 0.0000  8 Pr 3.39-3.69
Pr: 0.5565 0.1131 0.2733  6 Pr 3.61-3.93, 2 Pm 3.69, 2 Dy 3.78-3.86
Dy: 0.2144 0.4288 0.5503  8 Pr 3.47-3.75, 3 Dy 3.55-3.85
Pr: 0.8784 0.7568 0.0011  4 Dy 3.43-3.59, 4 Pr 3.49-3.78, 2 Pm 3.49
Dy: 0.7856 0.5712 0.4497  8 Pr 3.47-3.75, 3 Dy 3.55-3.85
Pr: 0.8545 0.2079 0.6156  1 Pm 3.39, 6 Pr 3.42-3.78, 3 Dy 3.47-3.65
Pr: 0.6466 0.7921 0.3844  1 Pm 3.39, 6 Pr 3.42-3.78, 3 Dy 3.47-3.65
Pr: 0.4571 0.3957 0.2000  5 Pr 3.42-3.71, 3 Dy 3.47-3.75, 1 Pm 3.57
Pr: 0.1216 0.2432 0.9989  4 Dy 3.43-3.59, 4 Pr 3.49-3.78, 2 Pm 3.49
Pr: 0.3534 0.2079 0.6156  1 Pm 3.39, 6 Pr 3.42-3.78, 3 Dy 3.47-3.65
Pr: 0.4435 0.8869 0.7267  6 Pr 3.61-3.93, 2 Pm 3.69, 2 Dy 3.78-3.86
Pr: 0.1455 0.7921 0.3844  1 Pm 3.39, 6 Pr 3.42-3.78, 3 Dy 3.47-3.65
Dy: 0.6782 0.3564 0.8575  9 Pr 3.47-3.87, 2 Dy 3.55-3.82
Pr: 0.0614 0.6043 0.8000  5 Pr 3.42-3.71, 3 Dy 3.47-3.75, 1 Pm 3.57
Pr: 0.9386 0.3957 0.2000  5 Pr 3.42-3.71, 3 Dy 3.47-3.75, 1 Pm 3.57
Dy: 0.0000 0.0000 0.5000  6 Pr 3.43-3.50
Pr: 0.5429 0.6043 0.8000  5 Pr 3.42-3.71, 3 Dy 3.47-3.75, 1 Pm 3.57
Pm: 0.7718 0.0000 0.0000  8 Pr 3.39-3.69
Dy: 0.3218 0.6436 0.1425  9 Pr 3.47-3.87, 2 Dy 3.55-3.82

Output
Energy of formation, eV/f.u.: 1.8
DOS at the Fermi energy, states/eV/cell: 26.206
Uncorrected energy, eV for the cell shown: -88.07
Theoretical density, Mg/m³: 7.0